Record 1
Computed, not measured: an optimized crystal structure of Rb3Na2Br3Cl2 at the PBE-GGA level of DFT.

Structure (CIF):
```
data_Rb3Na2Br3Cl2
_chemical_formula_sum 'Rb6 Na4 Br6 Cl4'
_cell_length_a 5.028
_cell_length_b 5.028
_cell_length_c 30.792
_cell_angle_alpha 90.00
_cell_angle_beta 90.00
_cell_angle_gamma 90.00
_symmetry_space_group_name_H-M 'I 4/m m m'
_symmetry_Int_Tables_number 139
_symmetry_space_group_name_Hall '-I 4 2'
loop_
_atom_site_label
_atom_site_type_symbol
_atom_site_fract_x
_atom_site_fract_y
_atom_site_fract_z
_atom_site_occupancy
Rb1 Rb 0.000 0.000 0.000 1
Rb2 Rb 0.000 0.000 0.389 1
Na1 Na 0.000 0.500 0.250 1
Br1 Br 0.000 0.000 0.116 1
Br2 Br 0.000 0.000 0.500 1
Cl1 Cl 0.000 0.000 0.281 1
```

Crystal system   tetragonal

---

Record 2
Computed, not measured: an optimized crystal structure of RbNaBrCl at the PBE-GGA level of DFT.

Structure (CIF):
```
data_RbNaBrCl
_chemical_formula_sum 'Rb2 Na2 Br2 Cl2'
_cell_length_a 5.380
_cell_length_b 5.380
_cell_length_c 10.036
_cell_angle_alpha 90.00
_cell_angle_beta 90.00
_cell_angle_gamma 90.00
_symmetry_space_group_name_H-M 'P 4/n m m'
_symmetry_Int_Tables_number 129
loop_
_symmetry_equiv_pos_as_xyz
'x,y,z'
'-x,-y,-z'
'-y+1/2,x,z'
'y+1/2,-x,-z'
'-x+1/2,-y+1/2,z'
'x+1/2,y+1/2,-z'
'y,-x+1/2,z'
'-y,x+1/2,-z'
'x+1/2,-y,-z'
'-x+1/2,y,z'
'-y,-x,-z'
'y,x,z'
'-x,y+1/2,-z'
'x,-y+1/2,z'
'y+1/2,x+1/2,-z'
'-y+1/2,-x+1/2,z'
loop_
_atom_site_label
_atom_site_type_symbol
_atom_site_fract_x
_atom_site_fract_y
_atom_site_fract_z
_atom_site_occupancy
Rb1 Rb 0.250 0.250 0.178 1
Na1 Na 0.250 0.250 0.599 1
Br1 Br 0.250 0.750 0.500 1
Cl1 Cl 0.250 0.250 0.861 1
```

Offset from the most stable computed form   0.00 eV per formula unit
Crystal system   tetragonal

---

Record 3
Computed, not measured: an optimized crystal structure of RbNaBrCl at the PBE-GGA level of DFT.

Structure (CIF):
```
data_RbNaBrCl
_chemical_formula_sum 'Rb4 Na4 Br4 Cl4'
_cell_length_a 7.809
_cell_length_b 7.809
_cell_length_c 7.809
_cell_angle_alpha 90.00
_cell_angle_beta 90.00
_cell_angle_gamma 90.00
_symmetry_space_group_name_H-M 'F -4 3 m'
_symmetry_Int_Tables_number 216
_symmetry_space_group_name_Hall 'F -4 2 3'
loop_
_atom_site_label
_atom_site_type_symbol
_atom_site_fract_x
_atom_site_fract_y
_atom_site_fract_z
_atom_site_occupancy
Rb1 Rb 0.000 0.000 0.000 1
Na1 Na 0.000 0.000 0.500 1
Br1 Br 0.250 0.250 0.250 1
Cl1 Cl 0.250 0.250 0.750 1
```

Offset from the most stable computed form   0.32 eV per formula unit
Crystal system   cubic

---

Record 4
Computed, not measured: an optimized crystal structure of Rb2Na4Br3Cl2 at the PBE-GGA level of DFT.

Structure (CIF):
```
data_Rb2Na4Br3Cl2
_chemical_formula_sum 'Rb4 Na8 Br6 Cl4'
_cell_length_a 5.197
_cell_length_b 5.197
_cell_length_c 30.526
_cell_angle_alpha 90.00
_cell_angle_beta 90.00
_cell_angle_gamma 90.00
_symmetry_space_group_name_H-M 'I 4/m m m'
_symmetry_Int_Tables_number 139
_symmetry_space_group_name_Hall '-I 4 2'
loop_
_atom_site_label
_atom_site_type_symbol
_atom_site_fract_x
_atom_site_fract_y
_atom_site_fract_z
_atom_site_occupancy
Rb1 Rb 0.000 0.000 0.183 1
Na1 Na 0.000 0.500 0.067 1
Br1 Br 0.000 0.000 0.372 1
Br2 Br 0.000 0.000 0.500 1
Cl1 Cl 0.000 0.000 0.072 1
```

Crystal system   tetragonal

---

Ordered spin magnetization results: 0.0231, 0.0000, 0.0000, 0.0002; unit μB per atom.
Ordered ΔE_f (raw) results: -1713, -1677, -1598, -1445; unit meV per atom.